[1]
Density functional theory data (GGA-PBE) for an optimized crystal structure of KOsBr2.

Cell and atoms, written as POSCAR:
```
KOsBr2
1.0
5.721 0.000 0.000
0.000 3.866 0.000
-1.612 0.000 5.517
K Os Br
1 1 2
direct
0.000 0.000 0.000
0.500 0.000 0.500
0.331 0.500 0.671
0.669 0.500 0.329
```

Values from the calculation:
Offset from the most stable computed form = 62 meV per atom
Uncorrected formation energy = 109 meV/atom
N(E_F) = 0.580 states/eV per atom
Total magnetic moment = 0.90 μB per cell
Final energy = -3.8095 eV per atom
Space-group type = P2/m (10)

***

[2]
Density functional theory data (GGA-PBE) for an optimized crystal structure of HfNbNiMo.

Cell and atoms, written as POSCAR:
```
HfNbNiMo
1.0
0.000 3.211 3.211
3.211 0.000 3.211
3.211 3.211 0.000
Hf Nb Ni Mo
1 1 1 1
direct
0.000 0.000 0.000
0.500 0.500 0.500
0.250 0.250 0.250
0.750 0.750 0.750
```

Values from the calculation:
N(E_F) = 1.062 states/eV per atom
Total magnetic moment = 0.00 μB per cell
E_form = -62 kJ/mol of formula units
Final energy = -9.3208 eV per atom
Space-group type = F-43m (216)

***

[3]
Density functional theory data (GGA-PBE) for an optimized crystal structure of Hf3OsS.

Cell and atoms, written as POSCAR:
```
Hf3OsS
1.0
8.345 0.000 0.000
0.000 3.345 0.000
0.000 0.000 13.722
Hf Os S
12 4 4
direct
0.033 0.250 0.120
0.148 0.250 0.548
0.207 0.750 0.281
0.293 0.250 0.781
0.352 0.750 0.048
0.467 0.750 0.620
0.533 0.250 0.380
0.648 0.250 0.952
0.707 0.750 0.219
0.793 0.250 0.719
0.852 0.750 0.452
0.967 0.750 0.880
0.069 0.750 0.693
0.431 0.250 0.193
0.569 0.750 0.807
0.931 0.250 0.307
0.172 0.250 0.953
0.328 0.750 0.453
0.672 0.250 0.547
0.828 0.750 0.047
```

Values from the calculation:
Offset from the most stable computed form = 0 meV per atom
Uncorrected formation energy = -789 meV/atom
N(E_F) = 0.428 states/eV per atom
Total magnetic moment = 0.00 μB per cell
Final energy = -9.8326 eV per atom
Space-group type = Pnma (62)

***

[4]
Density functional theory data (GGA-PBE) for an optimized crystal structure of Lu2SiHg.

Cell and atoms, written as POSCAR:
```
Lu2SiHg
1.0
1.842 1.064 8.282
-1.842 1.064 8.282
0.000 -2.127 8.282
Lu Si Hg
2 1 1
direct
0.241 0.241 0.241
0.759 0.759 0.759
0.500 0.500 0.500
0.000 0.000 0.000
```

Values from the calculation:
Uncorrected formation energy = -393 meV/atom
N(E_F) = 0.848 states/eV per atom
Total magnetic moment = 0.00 μB per cell
Final energy = -4.0848 eV per atom
Space-group type = R-3m (166)

***

Among the records above, which one has the highest final energy?
KOsBr2

***

The highest final energy belongs to which entry?
KOsBr2